Tc2TeP2: optimized geometry, PBE.

Cell: 6.7254 6.7254 6.7254 Å, 148.23 148.23 45.54°
Closest atoms and distances in Å follow each position.
Element x y z (fractional)
1 Tc 0.1301 0.1301 0.0000  4 P 2.37
2 Tc 0.8699 0.8699 0.0000  4 P 2.37
3 Te 0.5000 0.5000 0.0000  8 Tc 3.06
4 P 0.2500 0.7500 0.5000  4 Tc 2.37, 4 P 2.60
5 P 0.7500 0.2500 0.5000  4 Tc 2.37, 4 P 2.60

Summary:
- crystal system = tetragonal
- space-group type = I4/mmm
- energy above the most stable polymorph in this dataset (eV per formula unit) = 0.00
- E_form (uncorrected) (eV per atom) = -0.10
- mass density (g/cm³) = 7.6